Tl2Ir: relaxed, PBE.

Cell: 12.8393 3.0814 7.8557 Å, 90.00 90.77 90.00°
Closest atoms and distances in Å follow each position.
Space group Cm (No. 8)
Asymmetric unit:
Tl 0.0000 0.0000 0.0000  4 Ir 2.80-2.81, 2 Tl 3.08
Tl 0.0690 0.0000 0.4213  4 Tl 3.08-3.41, 2 Ir 3.15
Tl 0.2366 0.5000 0.7176  2 Ir 2.84, 2 Tl 3.08
Tl 0.3274 0.0000 0.3526  3 Ir 2.83-3.13, 2 Tl 3.08
Ir 0.1702 0.5000 0.1157  2 Ir 2.64, 2 Tl 2.81
Ir 0.3182 0.0000 0.9928  2 Ir 2.64, 5 Tl 2.80-2.84

Results
ΔH_f (0 K): 348 meV per atom
Fermi-level density of states: 0.489 states/eV per atom
calculated total energy: -12.6 eV per formula unit
volume: 25.9 Å³/atom